[1]
HoTh5Au6 after structural relaxation. Source: Alexandria, functional PBE-GGA.

Computed properties:
Crystal system: monoclinic
Calculated formation energy in eV/atom: -0.616

Lattice parameters (Å, degrees): 8.948 8.948 5.192 106.77 106.77 50.05
Sites, in units of the cell vectors:
Ho: 0.000 0.000 0.000
Th: 0.182 0.182 0.681
Th: 0.349 0.349 0.349
Th: 0.500 0.500 0.000
Th: 0.651 0.651 0.651
Th: 0.818 0.818 0.319
Au: 0.068 0.609 0.839
Au: 0.211 0.789 0.500
Au: 0.391 0.932 0.161
Au: 0.609 0.068 0.839
Au: 0.789 0.211 0.500
Au: 0.932 0.391 0.161

***

[2]
La3CeHo3S8 after structural relaxation. Source: Alexandria, functional PBE-GGA.

Computed properties:
Crystal system: trigonal
Raw formation energy in eV per formula unit: -31.06

Lattice parameters (Å, degrees): 8.099 8.099 8.099 58.97 58.97 58.97
Sites, in units of the cell vectors:
La: 0.000 0.500 0.500
La: 0.500 0.000 0.500
La: 0.500 0.500 0.000
Ce: 0.500 0.500 0.500
Ho: 0.000 0.000 0.500
Ho: 0.000 0.500 0.000
Ho: 0.500 0.000 0.000
S: 0.234 0.751 0.751
S: 0.243 0.243 0.243
S: 0.249 0.249 0.766
S: 0.249 0.766 0.249
S: 0.751 0.234 0.751
S: 0.751 0.751 0.234
S: 0.757 0.757 0.757
S: 0.766 0.249 0.249

***

| no. | energy (eV per cell) | Fermi-level density of states (states/eV/f.u.) |
| --- | --- | --- |
| 1 | -68.73 | 11.78 |
| 2 | -98.53 | 12.39 |